(P)
Entry from the Alexandria database: a relaxed Fe3CuCl crystal (PBE).

Summary:
Its density of states at the Fermi level is 0.39 states/eV/atom. For the spin magnetization, the calculation gives 6.00 Bohr magnetons per cell.

Unit cell a=4.1038 b=4.1038 c=4.1038 alpha=90.00 beta=90.00 gamma=90.00
Last column: nearest neighbours and their distance in Å.
Space group Pm-3m (No. 221)
One atom of each set of equivalent atoms:
Fe1 0.0000 0.0000 0.5000 (multiplicity 3)  2 Cl 2.05
Cu1 0.5000 0.5000 0.5000 (multiplicity 1)  12 Fe 2.90
Cl1 0.0000 0.0000 0.0000 (multiplicity 1)  6 Fe 2.05

(Q)
Entry from the Alexandria database: a relaxed Fe3CuCl crystal (PBE).

Summary:
Its density of states at the Fermi level is 1.35 states/eV/atom. For the spin magnetization, the calculation gives 9.37 Bohr magnetons per cell.

Unit cell a=4.4947 b=4.4947 c=4.4947 alpha=90.00 beta=90.00 gamma=90.00
Last column: nearest neighbours and their distance in Å.
Space group Pm-3m (No. 221)
One atom of each set of equivalent atoms:
Fe1 0.0000 0.0000 0.5000 (multiplicity 3)  2 Cu 2.25
Cu1 0.0000 0.0000 0.0000 (multiplicity 1)  6 Fe 2.25
Cl1 0.5000 0.5000 0.5000 (multiplicity 1)  12 Fe 3.18

Which of them is the least stable? Correct choice: (Q).

(P)
Entry from the Alexandria database: a relaxed FeCu3Cl crystal (PBE).

Summary:
Its density of states at the Fermi level is 1.96 states/eV/atom. For the spin magnetization, the calculation gives 2.93 Bohr magnetons per cell.

Unit cell a=4.4149 b=4.4149 c=4.4149 alpha=90.00 beta=90.00 gamma=90.00
Last column: nearest neighbours and their distance in Å.
Space group Pm-3m (No. 221)
One atom of each set of equivalent atoms:
Fe1 0.0000 0.0000 0.0000 (multiplicity 1)  12 Cu 3.12
Cu1 0.0000 0.5000 0.5000 (multiplicity 3)  2 Cl 2.21
Cl1 0.5000 0.5000 0.5000 (multiplicity 1)  6 Cu 2.21

(Q)
Entry from the Alexandria database: a relaxed FeCu3Cl crystal (PBE).

Summary:
Its density of states at the Fermi level is 0.71 states/eV/atom. For the spin magnetization, the calculation gives 2.65 Bohr magnetons per cell.

Unit cell a=4.5689 b=4.5689 c=4.5689 alpha=90.00 beta=90.00 gamma=90.00
Last column: nearest neighbours and their distance in Å.
Space group Pm-3m (No. 221)
One atom of each set of equivalent atoms:
Fe1 0.0000 0.0000 0.0000 (multiplicity 1)  6 Cu 2.28
Cu1 0.0000 0.0000 0.5000 (multiplicity 3)  2 Fe 2.28
Cl1 0.5000 0.5000 0.5000 (multiplicity 1)  12 Cu 3.23

Which of them is the least stable? Correct choice: (P).